(1)
The following is a DFT calculation (PBE) of a geometry-optimized Mn2CoPt structure.

Calculated values
DOS at the Fermi energy: 1.444 states/eV per atom
energy of formation from the pure elements: 0.062 eV/atom

Cell: 8.547 2.633 4.423 Å, 90.00 100.53 90.00°
Space group C2/m (No. 12)
Inequivalent atoms, fractional coordinates:
Mn (0.246, 0.000, 0.226) (multiplicity 4)
Co (0.000, 0.500, 0.000) (multiplicity 2)
Pt (0.000, 0.000, 0.500) (multiplicity 2)

=====

(2)
The following is a DFT calculation (PBE) of a geometry-optimized Li2Pm3ErS6 structure.

Calculated values
E_form (uncorrected): -1.886 eV/atom
DOS at the Fermi energy: 0.218 states/eV per atom

Cell: 6.833 11.835 6.786 Å, 90.00 109.54 90.00°
Space group C2/m (No. 12)
Inequivalent atoms, fractional coordinates:
Li (0.000, 0.167, 0.000) (multiplicity 4)
Pm (0.000, 0.000, 0.500) (multiplicity 2)
Pm (0.000, 0.332, 0.500) (multiplicity 4)
Er (0.000, 0.500, 0.000) (multiplicity 2)
S (0.245, 0.333, 0.234) (multiplicity 8)
S (0.246, 0.000, 0.237) (multiplicity 4)

=====

(3)
The following is a DFT calculation (PBE) of a geometry-optimized CdAg3Pd3 structure.

Calculated values
E above lowest polymorph: 0.0 meV per atom
DOS at the Fermi energy: 0.331 states/eV per atom
energy of formation from the pure elements: -0.145 eV/atom

Cell: 7.6097 7.6097 4.7363 Å, 90.00 90.00 120.00°
Space group P6_3/m (No. 176)
Inequivalent atoms, fractional coordinates:
Cd (0.3333, 0.6667, 0.2500) (multiplicity 2)
Ag (0.0430, 0.2383, 0.2500) (multiplicity 6)
Pd (0.0949, 0.4769, 0.7500) (multiplicity 6)

=====

(4)
The following is a DFT calculation (PBE) of a geometry-optimized Tm2Mg3Sc2 structure.

Calculated values
E above lowest polymorph: 0.0 meV per atom
DOS at the Fermi energy: 0.941 states/eV per atom
energy of formation from the pure elements: 0.008 eV/atom

Cell: 5.023 22.286 3.228 Å, 90.00 90.00 90.00°
Space group Cmmm (No. 65)
Inequivalent atoms, fractional coordinates:
Tm (0.000, 0.152, 0.000) (multiplicity 4)
Mg (0.000, 0.000, 0.000) (multiplicity 2)
Mg (0.000, 0.428, 0.500) (multiplicity 4)
Sc (0.000, 0.285, 0.500) (multiplicity 4)